Material: AlTl2WF
Method: DFT, GGA+U
State: relaxed

## Properties
The value obtained for the total magnetization is 4.28 μB per cell. For the total energy, the calculation gives -3.467 eV per atom. The crystal system is tetragonal.

Lattice parameters (Å, degrees): 5.6506 5.6506 3.6518 90.00 90.00 90.00
With the nearest neighbours (Å) after each atom.
Space group P4/mmm (No. 123)
Asymmetric unit:
Al 0.0000 0.0000 0.0000  2 F 1.83
Tl 0.0000 0.5000 0.0000  2 Al 2.83
W 0.5000 0.5000 0.5000  8 Tl 3.36, 2 W 3.65
F 0.0000 0.0000 0.5000  2 Al 1.83